A geometry-optimized Cs2AgI6Br structure, computed with PBE.

* electronic total energy: -22.0 eV per formula unit
* density: 4.3 g/cm³
* magnetization: 0.000 μB/atom

Cell and atoms, written as CIF:
```
data_Cs2AgI6Br
_cell_length_a 8.7281
_cell_length_b 8.7281
_cell_length_c 12.4012
_cell_angle_alpha 90.00
_cell_angle_beta 90.00
_cell_angle_gamma 90.00
_space_group_name_H-M_alt 'I 4/m m m'
_space_group_IT_number 139
_space_group_name_Hall '-I 4 2'
loop_
_atom_site_label
_atom_site_type_symbol
_atom_site_fract_x
_atom_site_fract_y
_atom_site_fract_z
Cs1 Cs 0.0000 0.5000 0.2500
Ag1 Ag 0.0000 0.0000 0.0000
I1 I 0.0000 0.0000 0.2749
I2 I 0.2196 0.2196 0.0000
Br1 Br 0.0000 0.0000 0.5000
```